First-principles (SCAN) data for a PBEsol-optimized structure of Sb2TeW, as listed in Alexandria via LeMat-Bulk.

Summary:
ΔE_f (raw) = 0.9158 eV/atom
total moment = 0.000 μB per cell

Unit cell a=4.9470 b=4.9470 c=4.9470 alpha=60.00 beta=60.00 gamma=60.00
Last column: nearest neighbours and their distance in Å.
Positions (direct):
Sb 0.0000 0.0000 0.0000  4 Te 3.03, 4 Sb 3.03
Sb 0.2500 0.2500 0.2500  4 W 3.03, 4 Sb 3.03
Te 0.7500 0.7500 0.7500  4 W 3.03, 4 Sb 3.03
W 0.5000 0.5000 0.5000  4 Sb 3.03, 4 Te 3.03